# Rb3BIr PBE relaxed
data_Rb3BIr
_cell_length_a 6.286
_cell_length_b 6.286
_cell_length_c 6.286
_cell_angle_alpha 90.00
_cell_angle_beta 90.00
_cell_angle_gamma 90.00
_symmetry_space_group_name_H-M 'P 1'
_symmetry_Int_Tables_number 1
loop_
_symmetry_equiv_pos_as_xyz
'x,y,z'
loop_
_atom_site_label
_atom_site_type_symbol
_atom_site_fract_x
_atom_site_fract_y
_atom_site_fract_z
Rb1 Rb 0.000 0.000 0.500
Rb2 Rb 0.000 0.500 0.000
Rb3 Rb 0.500 0.000 0.000
B1 B 0.500 0.500 0.500
Ir1 Ir 0.000 0.000 0.000
# Formation enthalpy at 0 K   154.8 kJ/mol of atoms
# DOS(E_F)   17.50 states/eV/f.u.
# Size of the total moment   1.9 μB/cell
# Energy above the lowest structure with this stoichiometry   0 meV/atom
# Energy   -2.08 eV/atom

=====

# Fe2TcTe PBE relaxed
data_Fe2TcTe
_cell_length_a 4.831
_cell_length_b 4.831
_cell_length_c 4.831
_cell_angle_alpha 133.04
_cell_angle_beta 133.04
_cell_angle_gamma 68.59
_symmetry_space_group_name_H-M 'P 1'
_symmetry_Int_Tables_number 1
loop_
_symmetry_equiv_pos_as_xyz
'x,y,z'
loop_
_atom_site_label
_atom_site_type_symbol
_atom_site_fract_x
_atom_site_fract_y
_atom_site_fract_z
Fe1 Fe 0.000 0.000 0.000
Fe2 Fe 0.750 0.250 0.500
Tc1 Tc 0.250 0.750 0.500
Te1 Te 0.500 0.500 0.000
# DOS(E_F)   4.53 states/eV/f.u.
# Size of the total moment   5.6 μB/cell
# Energy   -7.25 eV/atom

=====

# Rb3Te2O6 PBE relaxed
data_Rb3Te2O6
_cell_length_a 12.153
_cell_length_b 12.153
_cell_length_c 12.153
_cell_angle_alpha 160.06
_cell_angle_beta 160.06
_cell_angle_gamma 28.35
_symmetry_space_group_name_H-M 'P 1'
_symmetry_Int_Tables_number 1
loop_
_symmetry_equiv_pos_as_xyz
'x,y,z'
loop_
_atom_site_label
_atom_site_type_symbol
_atom_site_fract_x
_atom_site_fract_y
_atom_site_fract_z
Rb1 Rb 0.000 0.000 0.000
Rb2 Rb 0.192 0.192 0.000
Rb3 Rb 0.808 0.808 0.000
Te1 Te 0.397 0.397 0.000
Te2 Te 0.603 0.603 0.000
O1 O 0.092 0.592 0.500
O2 O 0.317 0.317 0.000
O3 O 0.408 0.908 0.500
O4 O 0.592 0.092 0.500
O5 O 0.683 0.683 0.000
O6 O 0.908 0.408 0.500
# DOS(E_F)   1.66 states/eV/f.u.
# Size of the total moment   0.0 μB/cell
# Energy   -4.87 eV/atom

=====

# LiU2InO8 PBE relaxed
data_LiU2InO8
_cell_length_a 6.427
_cell_length_b 6.427
_cell_length_c 6.427
_cell_angle_alpha 131.69
_cell_angle_beta 131.69
_cell_angle_gamma 70.72
_symmetry_space_group_name_H-M 'P 1'
_symmetry_Int_Tables_number 1
loop_
_symmetry_equiv_pos_as_xyz
'x,y,z'
loop_
_atom_site_label
_atom_site_type_symbol
_atom_site_fract_x
_atom_site_fract_y
_atom_site_fract_z
Li1 Li 0.000 0.000 0.000
U1 U 0.250 0.750 0.500
U2 U 0.500 0.500 0.000
In1 In 0.750 0.250 0.500
O1 O 0.119 0.136 0.552
O2 O 0.180 0.679 0.065
O3 O 0.321 0.386 0.501
O4 O 0.433 0.881 0.017
O5 O 0.584 0.567 0.448
O6 O 0.614 0.115 0.935
O7 O 0.864 0.416 0.983
O8 O 0.885 0.820 0.499
# DOS(E_F)   0.00 states/eV/f.u.
# Size of the total moment   0.0 μB/cell
# Energy   -8.13 eV/atom

=====

# CaSmYHo PBE relaxed
data_CaSmYHo
_cell_length_a 5.775
_cell_length_b 5.775
_cell_length_c 5.775
_cell_angle_alpha 60.00
_cell_angle_beta 60.00
_cell_angle_gamma 60.00
_symmetry_space_group_name_H-M 'P 1'
_symmetry_Int_Tables_number 1
loop_
_symmetry_equiv_pos_as_xyz
'x,y,z'
loop_
_atom_site_label
_atom_site_type_symbol
_atom_site_fract_x
_atom_site_fract_y
_atom_site_fract_z
Ca1 Ca 0.000 0.000 0.000
Sm1 Sm 0.250 0.250 0.250
Y1 Y 0.750 0.750 0.750
Ho1 Ho 0.500 0.500 0.500
# Formation enthalpy at 0 K   14.2 kJ/mol of atoms
# DOS(E_F)   7.09 states/eV/f.u.
# Size of the total moment   0.0 μB/cell
# Energy   -4.29 eV/atom

=====

# Y2GaHg2 PBE relaxed
data_Y2GaHg2
_cell_length_a 7.510
_cell_length_b 7.510
_cell_length_c 4.426
_cell_angle_alpha 90.00
_cell_angle_beta 90.00
_cell_angle_gamma 90.00
_symmetry_space_group_name_H-M 'P 1'
_symmetry_Int_Tables_number 1
loop_
_symmetry_equiv_pos_as_xyz
'x,y,z'
loop_
_atom_site_label
_atom_site_type_symbol
_atom_site_fract_x
_atom_site_fract_y
_atom_site_fract_z
Y1 Y 0.169 0.331 0.000
Y2 Y 0.331 0.831 0.000
Y3 Y 0.669 0.169 0.000
Y4 Y 0.831 0.669 0.000
Ga1 Ga 0.000 0.000 0.500
Ga2 Ga 0.500 0.500 0.500
Hg1 Hg 0.136 0.636 0.500
Hg2 Hg 0.364 0.136 0.500
Hg3 Hg 0.636 0.864 0.500
Hg4 Hg 0.864 0.364 0.500
# Formation enthalpy at 0 K   -39.5 kJ/mol of atoms
# DOS(E_F)   3.15 states/eV/f.u.
# Size of the total moment   0.0 μB/cell
# Energy above the lowest structure with this stoichiometry   80 meV/atom
# Energy   -3.72 eV/atom

=====

# BaZnRe PBE relaxed
data_BaZnRe
_cell_length_a 5.209
_cell_length_b 5.209
_cell_length_c 5.209
_cell_angle_alpha 60.00
_cell_angle_beta 60.00
_cell_angle_gamma 60.00
_symmetry_space_group_name_H-M 'P 1'
_symmetry_Int_Tables_number 1
loop_
_symmetry_equiv_pos_as_xyz
'x,y,z'
loop_
_atom_site_label
_atom_site_type_symbol
_atom_site_fract_x
_atom_site_fract_y
_atom_site_fract_z
Ba1 Ba 0.000 0.000 0.000
Zn1 Zn 0.250 0.250 0.250
Re1 Re 0.750 0.750 0.750
# Formation enthalpy at 0 K   176.8 kJ/mol of atoms
# DOS(E_F)   0.43 states/eV/f.u.
# Size of the total moment   3.1 μB/cell
# Energy above the lowest structure with this stoichiometry   1083 meV/atom
# Energy   -3.38 eV/atom

=====

# Hf4Zr PBE relaxed
data_Hf4Zr
_cell_length_a 5.054
_cell_length_b 5.054
_cell_length_c 5.054
_cell_angle_alpha 90.00
_cell_angle_beta 90.00
_cell_angle_gamma 90.00
_symmetry_space_group_name_H-M 'P 1'
_symmetry_Int_Tables_number 1
loop_
_symmetry_equiv_pos_as_xyz
'x,y,z'
loop_
_atom_site_label
_atom_site_type_symbol
_atom_site_fract_x
_atom_site_fract_y
_atom_site_fract_z
Hf1 Hf 0.000 0.000 0.000
Hf2 Hf 0.000 0.500 0.500
Hf3 Hf 0.500 0.000 0.500
Hf4 Hf 0.500 0.500 0.000
Zr1 Zr 0.500 0.500 0.500
# Formation enthalpy at 0 K   116.2 kJ/mol of atoms
# DOS(E_F)   6.89 states/eV/f.u.
# Size of the total moment   0.0 μB/cell
# Energy above the lowest structure with this stoichiometry   1139 meV/atom
# Energy   -8.47 eV/atom

=====

# KMgHg3 PBE relaxed
data_KMgHg3
_cell_length_a 5.562
_cell_length_b 5.562
_cell_length_c 5.562
_cell_angle_alpha 90.00
_cell_angle_beta 90.00
_cell_angle_gamma 90.00
_symmetry_space_group_name_H-M 'P 1'
_symmetry_Int_Tables_number 1
loop_
_symmetry_equiv_pos_as_xyz
'x,y,z'
loop_
_atom_site_label
_atom_site_type_symbol
_atom_site_fract_x
_atom_site_fract_y
_atom_site_fract_z
K1 K 0.000 0.000 0.000
Mg1 Mg 0.500 0.500 0.500
Hg1 Hg 0.000 0.500 0.500
Hg2 Hg 0.500 0.000 0.500
Hg3 Hg 0.500 0.500 0.000
# Formation enthalpy at 0 K   -12.1 kJ/mol of atoms
# DOS(E_F)   2.74 states/eV/f.u.
# Size of the total moment   0.0 μB/cell
# Energy above the lowest structure with this stoichiometry   72 meV/atom
# Energy   -0.84 eV/atom

=====

# Ba2LaZn PBE relaxed
data_Ba2LaZn
_cell_length_a 7.537
_cell_length_b 7.537
_cell_length_c 7.537
_cell_angle_alpha 148.76
_cell_angle_beta 131.45
_cell_angle_gamma 58.87
_symmetry_space_group_name_H-M 'P 1'
_symmetry_Int_Tables_number 1
loop_
_symmetry_equiv_pos_as_xyz
'x,y,z'
loop_
_atom_site_label
_atom_site_type_symbol
_atom_site_fract_x
_atom_site_fract_y
_atom_site_fract_z
Ba1 Ba 0.000 0.000 0.000
Ba2 Ba 0.704 0.204 0.500
La1 La 0.302 0.802 0.500
Zn1 Zn 0.482 0.482 0.000
# Formation enthalpy at 0 K   1.3 kJ/mol of atoms
# DOS(E_F)   5.90 states/eV/f.u.
# Size of the total moment   0.0 μB/cell
# Energy   -2.50 eV/atom

=====

# Mg2ZrOsPd PBE relaxed
data_Mg2ZrOsPd
_cell_length_a 4.801
_cell_length_b 4.801
_cell_length_c 4.862
_cell_angle_alpha 90.00
_cell_angle_beta 90.00
_cell_angle_gamma 90.00
_symmetry_space_group_name_H-M 'P 1'
_symmetry_Int_Tables_number 1
loop_
_symmetry_equiv_pos_as_xyz
'x,y,z'
loop_
_atom_site_label
_atom_site_type_symbol
_atom_site_fract_x
_atom_site_fract_y
_atom_site_fract_z
Mg1 Mg 0.000 0.500 0.000
Mg2 Mg 0.500 0.000 0.000
Zr1 Zr 0.000 0.000 0.500
Os1 Os 0.500 0.500 0.000
Pd1 Pd 0.500 0.500 0.500
# Formation enthalpy at 0 K   78.7 kJ/mol of atoms
# DOS(E_F)   4.02 states/eV/f.u.
# Size of the total moment   0.0 μB/cell
# Energy   -4.82 eV/atom

=====

# NbSb2IO PBE relaxed
data_NbSb2IO
_cell_length_a 4.482
_cell_length_b 4.482
_cell_length_c 5.653
_cell_angle_alpha 90.00
_cell_angle_beta 90.00
_cell_angle_gamma 90.00
_symmetry_space_group_name_H-M 'P 1'
_symmetry_Int_Tables_number 1
loop_
_symmetry_equiv_pos_as_xyz
'x,y,z'
loop_
_atom_site_label
_atom_site_type_symbol
_atom_site_fract_x
_atom_site_fract_y
_atom_site_fract_z
Nb1 Nb 0.000 0.000 0.000
Sb1 Sb 0.000 0.500 0.500
Sb2 Sb 0.500 0.000 0.500
I1 I 0.500 0.500 0.000
O1 O 0.500 0.500 0.500
# DOS(E_F)   4.28 states/eV/f.u.
# Size of the total moment   1.8 μB/cell
# Energy above the lowest structure with this stoichiometry   0 meV/atom
# Energy   -4.61 eV/atom

=====

The lowest DOS(E_F) belongs to which entry?
LiU2InO8